## Ba2SrLiAg (PBE)

Data for a relaxed Ba2SrLiAg crystal.

POSCAR file:
```
Ba2SrLiAg
1.0
6.616 0.000 0.000
0.000 6.616 0.000
0.000 0.000 5.354
Ba Sr Li Ag
2 1 1 1
Cartesian
0.000 3.308 0.000 Ba
3.308 0.000 0.000 Ba
0.000 0.000 2.677 Sr
3.308 3.308 2.677 Li
3.308 3.308 0.000 Ag
```

Results
Crystal system   tetragonal
Theoretical density   3.38 g/cm³
Energy above the lowest structure with this stoichiometry   0 meV/atom
M_tot   0.00 Bohr magnetons per cell
Calculated formation energy   2 meV per atom

## BaSr2LiAg (PBE)

Data for a relaxed BaSr2LiAg crystal.

POSCAR file:
```
BaSr2LiAg
1.0
6.216 0.000 0.000
0.000 6.216 0.000
0.000 0.000 6.437
Ba Sr Li Ag
1 2 1 1
Cartesian
0.000 0.000 0.000 Ba
0.000 3.108 3.219 Sr
3.108 0.000 3.219 Sr
3.108 3.108 0.000 Li
0.000 0.000 3.219 Ag
```

Results
Crystal system   tetragonal
Theoretical density   2.85 g/cm³
Energy above the lowest structure with this stoichiometry   4 meV/atom
M_tot   0.00 Bohr magnetons per cell
Calculated formation energy   -3 meV per atom

## BaSr2LiAg (PBE)

Data for a relaxed BaSr2LiAg crystal.

POSCAR file:
```
BaSr2LiAg
1.0
6.273 0.000 0.000
0.000 6.273 0.000
0.000 0.000 5.511
Ba Sr Li Ag
1 2 1 1
Cartesian
0.000 0.000 0.000 Ba
0.000 3.136 2.755 Sr
3.136 0.000 2.755 Sr
3.136 3.136 0.000 Li
3.136 3.136 2.755 Ag
```

Results
Crystal system   tetragonal
Theoretical density   3.27 g/cm³
Energy above the lowest structure with this stoichiometry   0 meV/atom
M_tot   0.00 Bohr magnetons per cell
Calculated formation energy   -7 meV per atom

## Ba2SrLiAg (PBE)

Data for a relaxed Ba2SrLiAg crystal.

POSCAR file:
```
Ba2SrLiAg
1.0
6.485 0.000 0.000
0.000 6.485 0.000
0.000 0.000 6.238
Ba Sr Li Ag
2 1 1 1
Cartesian
0.000 3.243 0.000 Ba
3.243 0.000 0.000 Ba
0.000 0.000 3.119 Sr
3.243 3.243 3.119 Li
0.000 0.000 0.000 Ag
```

Results
Crystal system   tetragonal
Theoretical density   3.02 g/cm³
Energy above the lowest structure with this stoichiometry   6 meV/atom
M_tot   0.00 Bohr magnetons per cell
Calculated formation energy   8 meV per atom